[1]
## CsRb2Na16 (PBE-GGA)

Data for a relaxed CsRb2Na16 crystal.

Summary:
Symmetry: R3m
D(E_F): 10.06 states/eV/cell
Energy of formation from the pure elements: 27 meV per atom

a = 9.5973 Å, b = 9.5973 Å, c = 9.5973 Å
α = 83.22°, β = 83.22°, γ = 83.22°
Fractional coordinates of all 19 atoms:
Cs (0.8892, 0.8892, 0.8892)
Rb (0.6419, 0.6419, 0.6419)
Rb (0.3379, 0.3379, 0.3379)
Na (0.6939, 0.0023, 0.3134)
Na (0.0023, 0.3134, 0.6939)
Na (0.3134, 0.6939, 0.0023)
Na (0.0023, 0.6939, 0.3134)
Na (0.6939, 0.3134, 0.0023)
Na (0.3134, 0.0023, 0.6939)
Na (0.3420, 0.8502, 0.3420)
Na (0.8502, 0.3420, 0.3420)
Na (0.3420, 0.3420, 0.8502)
Na (0.6426, 0.1830, 0.6426)
Na (0.1830, 0.6426, 0.6426)
Na (0.6426, 0.6426, 0.1830)
Na (0.0153, 0.4759, 0.0153)
Na (0.4759, 0.0153, 0.0153)
Na (0.0153, 0.0153, 0.4759)
Na (0.1029, 0.1029, 0.1029)

=====

[2]
## CoPbSe2 (PBE-GGA)

Data for a relaxed CoPbSe2 crystal.

Summary:
ΔE_f (raw): -0.074 eV per atom
Symmetry: Pm
D(E_F): 4.20 states/eV/cell

a = 3.9701 Å, b = 4.5366 Å, c = 6.2087 Å
α = 68.74°, β = 90.00°, γ = 90.00°
Fractional coordinates of all 4 atoms:
Co (0.0000, 0.3023, 0.5191)
Pb (0.5000, 0.6924, 0.7422)
Se (0.0000, 0.1104, 0.9062)
Se (0.5000, 0.3950, 0.3325)

=====

[3]
## AgBrO2 (PBE-GGA)

Data for a relaxed AgBrO2 crystal.

Summary:
ΔE_f (raw): -0.103 eV per atom
Symmetry: P2_1/m
D(E_F): 0.86 states/eV/cell

a = 3.5953 Å, b = 4.2145 Å, c = 11.0492 Å
α = 84.35°, β = 90.00°, γ = 90.00°
Fractional coordinates of all 8 atoms:
Ag (0.7500, 0.8525, 0.9058)
Ag (0.2500, 0.1475, 0.0942)
Br (0.7500, 0.6355, 0.1599)
Br (0.2500, 0.3645, 0.8401)
O (0.7500, 0.1978, 0.5256)
O (0.2500, 0.0717, 0.4198)
O (0.7500, 0.9283, 0.5802)
O (0.2500, 0.8022, 0.4744)

=====

[4]
## FeNiSbN2 (PBE-GGA)

Data for a relaxed FeNiSbN2 crystal.

Summary:
ΔE_f (raw): 1.352 eV per atom
Symmetry: P4/mmm
D(E_F): 6.32 states/eV/cell

a = 3.5950 Å, b = 5.0504 Å, c = 3.5950 Å
α = 90.00°, β = 90.00°, γ = 90.00°
Fractional coordinates of all 5 atoms:
Sb (0.5000, 0.5000, 0.5000)
N (0.0000, 0.0000, 0.5000)
N (0.5000, 0.0000, 0.0000)
Fe (0.0000, 0.5000, 0.0000)
Ni (0.0000, 0.0000, 0.0000)

=====

[5]
## Pr3Al5O12 (PBE-GGA)

Data for a relaxed Pr3Al5O12 crystal.

Summary:
ΔE_f (raw): -3.166 eV per atom
Symmetry: Ia-3d
D(E_F): 0.00 states/eV/cell

a = 10.7478 Å, b = 10.7478 Å, c = 10.7478 Å
α = 109.47°, β = 109.47°, γ = 109.47°
Fractional coordinates of all 80 atoms:
Pr (0.7500, 0.3750, 0.1250)
Pr (0.8750, 0.7500, 0.1250)
Pr (0.3750, 0.7500, 0.6250)
Pr (0.2500, 0.1250, 0.3750)
Pr (0.8750, 0.1250, 0.2500)
Pr (0.3750, 0.6250, 0.2500)
Pr (0.6250, 0.3750, 0.7500)
Pr (0.1250, 0.8750, 0.7500)
Pr (0.7500, 0.8750, 0.6250)
Pr (0.6250, 0.2500, 0.3750)
Pr (0.1250, 0.2500, 0.8750)
Pr (0.2500, 0.6250, 0.8750)
Al (0.1250, 0.3750, 0.2500)
Al (0.0000, 0.5000, 0.0000)
Al (0.0000, 0.0000, 0.0000)
Al (0.3750, 0.2500, 0.1250)
Al (0.5000, 0.0000, 0.5000)
Al (0.5000, 0.5000, 0.0000)
Al (0.1250, 0.7500, 0.3750)
Al (0.7500, 0.1250, 0.8750)
Al (0.7500, 0.6250, 0.3750)
Al (0.3750, 0.1250, 0.7500)
Al (0.6250, 0.8750, 0.2500)
Al (0.5000, 0.5000, 0.5000)
Al (0.5000, 0.0000, 0.0000)
Al (0.0000, 0.0000, 0.5000)
Al (0.2500, 0.3750, 0.6250)
Al (0.2500, 0.8750, 0.1250)
Al (0.0000, 0.5000, 0.5000)
Al (0.8750, 0.2500, 0.6250)
Al (0.6250, 0.7500, 0.8750)
Al (0.8750, 0.6250, 0.7500)
O (0.6940, 0.1141, 0.0131)
O (0.3192, 0.5131, 0.3990)
O (0.9869, 0.3859, 0.3060)
O (0.5131, 0.1940, 0.1141)
O (0.5798, 0.6940, 0.6808)
O (0.9869, 0.6010, 0.1808)
O (0.3192, 0.8060, 0.4202)
O (0.1010, 0.9202, 0.1141)
O (0.6010, 0.9869, 0.6808)
O (0.6940, 0.5798, 0.1808)
O (0.8060, 0.4869, 0.3859)
O (0.8192, 0.8990, 0.0131)
O (0.1141, 0.6940, 0.5131)
O (0.3859, 0.3990, 0.0798)
O (0.0798, 0.8990, 0.3859)
O (0.4202, 0.1141, 0.6010)
O (0.0798, 0.1808, 0.1940)
O (0.4869, 0.6808, 0.1010)
O (0.8192, 0.9202, 0.3060)
O (0.1141, 0.4202, 0.1010)
O (0.3859, 0.9869, 0.8060)
O (0.6010, 0.6141, 0.4202)
O (0.8990, 0.8192, 0.5131)
O (0.8060, 0.3192, 0.9202)
O (0.3990, 0.3859, 0.5798)
O (0.1010, 0.1808, 0.4869)
O (0.1940, 0.6808, 0.0798)
O (0.1808, 0.0798, 0.6940)
O (0.6141, 0.0131, 0.1940)
O (0.8859, 0.5798, 0.8990)
O (0.5131, 0.3192, 0.8990)
O (0.5798, 0.8859, 0.3990)
O (0.9202, 0.8192, 0.8060)
O (0.9202, 0.1010, 0.6141)
O (0.8859, 0.3060, 0.4869)
O (0.1808, 0.1010, 0.9869)
O (0.6141, 0.6010, 0.9202)
O (0.3990, 0.0131, 0.3192)
O (0.3060, 0.4202, 0.8192)
O (0.1940, 0.5131, 0.6141)
O (0.8990, 0.0798, 0.8859)
O (0.6808, 0.1940, 0.5798)
O (0.4869, 0.8060, 0.8859)
O (0.0131, 0.3990, 0.8192)
O (0.4202, 0.3060, 0.3192)
O (0.0131, 0.6141, 0.6940)
O (0.6808, 0.4869, 0.6010)
O (0.3060, 0.8859, 0.9869)

=====

[6]
## TcAsRh2Cl (PBE-GGA)

Data for a relaxed TcAsRh2Cl crystal.

Summary:
ΔE_f (raw): 1.013 eV per atom
Symmetry: P4/mmm
D(E_F): 6.21 states/eV/cell

a = 4.7609 Å, b = 4.7486 Å, c = 4.7609 Å
α = 90.00°, β = 90.00°, γ = 90.00°
Fractional coordinates of all 5 atoms:
As (0.0000, 0.5000, 0.0000)
Rh (0.0000, 0.0000, 0.5000)
Rh (0.5000, 0.0000, 0.0000)
Tc (0.0000, 0.0000, 0.0000)
Cl (0.5000, 0.5000, 0.5000)

=====

[7]
## CaTaF2 (PBE-GGA)

Data for a relaxed CaTaF2 crystal.

Summary:
ΔE_f (raw): -1.874 eV per atom
Symmetry: R-3m
D(E_F): 2.35 states/eV/cell

a = 6.7139 Å, b = 6.7139 Å, c = 6.7139 Å
α = 29.57°, β = 29.57°, γ = 29.57°
Fractional coordinates of all 4 atoms:
Ca (0.5000, 0.5000, 0.5000)
F (0.8842, 0.8842, 0.8842)
F (0.1158, 0.1158, 0.1158)
Ta (0.0000, 0.0000, 0.0000)

=====

[8]
## SiRu2Br (PBE-GGA)

Data for a relaxed SiRu2Br crystal.

Summary:
ΔE_f (raw): 0.150 eV per atom
Symmetry: Imm2
D(E_F): 4.10 states/eV/cell

a = 6.9021 Å, b = 6.9021 Å, c = 6.9021 Å
α = 150.78°, β = 154.93°, γ = 38.87°
Fractional coordinates of all 4 atoms:
Br (0.3059, 0.8059, 0.5000)
Ru (0.9815, 0.9815, 0.0000)
Ru (0.6646, 0.1646, 0.5000)
Si (0.5480, 0.5480, 0.0000)

=====

[9]
## Rb2Nb3O8F (PBE-GGA)

Data for a relaxed Rb2Nb3O8F crystal.

Summary:
ΔE_f (raw): -2.266 eV per atom
Symmetry: R3m

a = 6.1985 Å, b = 6.1985 Å, c = 8.6112 Å
α = 68.91°, β = 68.91°, γ = 60.00°
Fractional coordinates of all 14 atoms:
Rb (0.1323, 0.1323, 0.6030)
Rb (0.5153, 0.5153, 0.4540)
Nb (0.5021, 0.9996, 0.9961)
Nb (0.9996, 0.5021, 0.9961)
Nb (0.5021, 0.5021, 0.9961)
O (0.2870, 0.2870, 0.1391)
O (0.7144, 0.7144, 0.8567)
O (0.2287, 0.2287, 0.8643)
O (0.6782, 0.2287, 0.8643)
O (0.2287, 0.6782, 0.8643)
O (0.7733, 0.3267, 0.1266)
O (0.3267, 0.7733, 0.1266)
O (0.7733, 0.7733, 0.1266)
F (0.8306, 0.8306, 0.5081)

=====

[10]
## Zn2SnAs (PBE-GGA)

Data for a relaxed Zn2SnAs crystal.

Summary:
Symmetry: I-42d
D(E_F): 2.31 states/eV/cell
Energy of formation from the pure elements: 145 meV per atom

a = 6.4554 Å, b = 6.4554 Å, c = 6.6723 Å
α = 61.07°, β = 61.07°, γ = 90.00°
Fractional coordinates of all 8 atoms:
Zn (0.5815, 0.1250, 0.2500)
Zn (0.1685, 0.6250, 0.2500)
Zn (0.3750, 0.4185, 0.7500)
Zn (0.8750, 0.8315, 0.7500)
As (0.5000, 0.5000, 0.0000)
As (0.2500, 0.7500, 0.5000)
Sn (0.0000, 0.0000, 0.0000)
Sn (0.7500, 0.2500, 0.5000)

=====

[11]
## TmThRu (PBE-GGA)

Data for a relaxed TmThRu crystal.

Summary:
Symmetry: C2/m
D(E_F): 6.09 states/eV/cell
Energy of formation from the pure elements: -352 meV per atom

a = 4.1071 Å, b = 5.9852 Å, c = 8.2731 Å
α = 55.81°, β = 75.67°, γ = 90.06°
Fractional coordinates of all 6 atoms:
Tm (0.0916, 0.3806, 0.8172)
Tm (0.9084, 0.6194, 0.1828)
Th (0.6526, 0.9887, 0.6961)
Th (0.3474, 0.0113, 0.3039)
Ru (0.7332, 0.6573, 0.5337)
Ru (0.2668, 0.3427, 0.4663)

=====

[12]
## MoOs2 (PBE-GGA)

Data for a relaxed MoOs2 crystal.

Summary:
Symmetry: Cm
D(E_F): 4.26 states/eV/cell
Energy of formation from the pure elements: -4 meV per atom

a = 2.7702 Å, b = 5.2321 Å, c = 6.5454 Å
α = 76.27°, β = 90.00°, γ = 74.65°
Fractional coordinates of all 6 atoms:
Mo (0.0025, 0.9951, 0.0038)
Mo (0.3310, 0.3380, 0.6652)
Os (0.6115, 0.7771, 0.7202)
Os (0.9458, 0.1083, 0.3865)
Os (0.6679, 0.6642, 0.3334)
Os (0.2747, 0.4506, 0.0575)

=====

[13]
## Re2TcAs (PBE-GGA)

Data for a relaxed Re2TcAs crystal.

Summary:
Symmetry: R-3m
D(E_F): 3.04 states/eV/cell
Energy of formation from the pure elements: 203 meV per atom

a = 8.7472 Å, b = 8.7472 Å, c = 8.7472 Å
α = 18.66°, β = 18.66°, γ = 18.66°
Fractional coordinates of all 4 atoms:
Re (0.9992, 0.9992, 0.9992)
Re (0.5008, 0.5008, 0.5008)
As (0.2500, 0.2500, 0.2500)
Tc (0.7500, 0.7500, 0.7500)

=====

[14]
## CeMgCu17 (PBE-GGA)

Data for a relaxed CeMgCu17 crystal.

Summary:
Symmetry: R3m
D(E_F): 10.56 states/eV/cell
Energy of formation from the pure elements: -30 meV per atom

a = 6.4371 Å, b = 6.4371 Å, c = 6.4371 Å
α = 82.70°, β = 82.70°, γ = 82.70°
Fractional coordinates of all 19 atoms:
Ce (0.6591, 0.6591, 0.6591)
Mg (0.3391, 0.3391, 0.3391)
Cu (0.2968, 0.0029, 0.6995)
Cu (0.6995, 0.2968, 0.0029)
Cu (0.0029, 0.6995, 0.2968)
Cu (0.2968, 0.6995, 0.0029)
Cu (0.0029, 0.2968, 0.6995)
Cu (0.6995, 0.0029, 0.2968)
Cu (0.3435, 0.8536, 0.3435)
Cu (0.3435, 0.3435, 0.8536)
Cu (0.8536, 0.3435, 0.3435)
Cu (0.6503, 0.1599, 0.6503)
Cu (0.6503, 0.6503, 0.1599)
Cu (0.1599, 0.6503, 0.6503)
Cu (0.9970, 0.5013, 0.9970)
Cu (0.9970, 0.9970, 0.5013)
Cu (0.5013, 0.9970, 0.9970)
Cu (0.9057, 0.9057, 0.9057)
Cu (0.1014, 0.1014, 0.1014)

=====

[15]
## CaZr4Pt (PBE-GGA)

Data for a relaxed CaZr4Pt crystal.

Summary:
Symmetry: F-43m
D(E_F): 7.15 states/eV/cell
Energy of formation from the pure elements: 232 meV per atom

a = 5.8034 Å, b = 5.8034 Å, c = 5.8034 Å
α = 60.00°, β = 60.00°, γ = 60.00°
Fractional coordinates of all 6 atoms:
Ca (0.7500, 0.7500, 0.7500)
Zr (0.8774, 0.3742, 0.3742)
Zr (0.3742, 0.3742, 0.8774)
Zr (0.3742, 0.8774, 0.3742)
Zr (0.3742, 0.3742, 0.3742)
Pt (0.0000, 0.0000, 0.0000)

=====

[16]
## MnRuCl2 (PBE-GGA)

Data for a relaxed MnRuCl2 crystal.

Summary:
ΔE_f (raw): 0.340 eV per atom
Symmetry: Pmmm
D(E_F): 3.45 states/eV/cell

a = 3.0275 Å, b = 5.8069 Å, c = 4.0311 Å
α = 90.00°, β = 90.00°, γ = 90.00°
Fractional coordinates of all 4 atoms:
Ru (0.0000, 0.5000, 0.5000)
Mn (0.5000, 0.0000, 0.5000)
Cl (0.0000, 0.0000, 0.0000)
Cl (0.5000, 0.5000, 0.0000)

=====

[17]
## Ac6Co2HgBr3 (PBE-GGA)

Data for a relaxed Ac6Co2HgBr3 crystal.

Summary:
ΔE_f (raw): -0.770 eV per atom
Symmetry: C2/m
D(E_F): 9.21 states/eV/cell

a = 4.3063 Å, b = 9.7952 Å, c = 10.6805 Å
α = 108.89°, β = 101.63°, γ = 90.00°
Fractional coordinates of all 12 atoms:
Ac (0.3348, 0.8656, 0.6695)
Ac (0.6846, 0.5582, 0.3692)
Ac (0.6652, 0.1344, 0.3305)
Ac (0.0297, 0.2620, 0.0595)
Ac (0.9703, 0.7380, 0.9405)
Ac (0.3154, 0.4418, 0.6308)
Co (0.8296, 0.6577, 0.6592)
Co (0.1704, 0.3423, 0.3408)
Hg (0.5000, 0.0000, 0.0000)
Br (0.5000, 0.5000, 0.0000)
Br (0.8332, 0.1594, 0.6664)
Br (0.1668, 0.8406, 0.3336)

=====

[18]
## CuSnF6 (PBE-GGA)

Data for a relaxed CuSnF6 crystal.

Summary:
ΔE_f (raw): -2.095 eV per atom
Symmetry: R-3
D(E_F): 4.66 states/eV/cell

a = 5.5765 Å, b = 5.5765 Å, c = 5.5765 Å
α = 56.65°, β = 56.65°, γ = 56.65°
Fractional coordinates of all 8 atoms:
Cu (0.5000, 0.5000, 0.5000)
Sn (0.0000, 0.0000, 0.0000)
F (0.8676, 0.2492, 0.6350)
F (0.6350, 0.8676, 0.2492)
F (0.7508, 0.3650, 0.1324)
F (0.3650, 0.1324, 0.7508)
F (0.1324, 0.7508, 0.3650)
F (0.2492, 0.6350, 0.8676)

=====

[19]
## Ta4IrC (PBE-GGA)

Data for a relaxed Ta4IrC crystal.

Summary:
Symmetry: P2_1/c
D(E_F): 6.19 states/eV/cell
Energy of formation from the pure elements: -95 meV per atom

a = 5.3994 Å, b = 5.6539 Å, c = 6.4510 Å
α = 90.00°, β = 84.22°, γ = 90.00°
Fractional coordinates of all 12 atoms:
Ta (0.9099, 0.6078, 0.1945)
Ta (0.5901, 0.1078, 0.8055)
Ta (0.3567, 0.3603, 0.3901)
Ta (0.1433, 0.8603, 0.6099)
Ta (0.0901, 0.3922, 0.8055)
Ta (0.4099, 0.8922, 0.1945)
Ta (0.6433, 0.6397, 0.6099)
Ta (0.8567, 0.1397, 0.3901)
Ir (0.0000, 0.0000, 0.0000)
Ir (0.5000, 0.5000, 0.0000)
C (0.5000, 0.0000, 0.5000)
C (0.0000, 0.5000, 0.5000)

=====

[20]
## Li2ThTl2 (PBE-GGA)

Data for a relaxed Li2ThTl2 crystal.

Summary:
Symmetry: C2/m
D(E_F): 3.08 states/eV/cell
Energy of formation from the pure elements: -102 meV per atom

a = 4.6316 Å, b = 4.6316 Å, c = 7.1507 Å
α = 108.96°, β = 89.97°, γ = 119.95°
Fractional coordinates of all 5 atoms:
Li (0.6881, 0.3761, 0.5641)
Li (0.3119, 0.6239, 0.4359)
Th (0.5000, 0.0000, 0.0000)
Tl (0.0747, 0.1495, 0.7241)
Tl (0.9253, 0.8505, 0.2759)